The following is a DFT calculation (GGA-PBE) of an optimized crystal structure of AgSnPdPb.

Computed properties:
Energy relative to the elements ... -0.0620 eV/atom
Crystal system ... cubic

a b c (Å): 7.024 7.024 7.024
angles (deg): 90.00 90.00 90.00
Space group F-43m (No. 216)
Unique sites:
Ag  0.000  0.000  0.000
Sn  0.250  0.250  0.250
Pd  0.000  0.000  0.500
Pb  0.250  0.250  0.750